Here is a geometry-optimized NbCo3 structure from Alexandria via LeMat-Bulk. Energies are from PBE.

The value obtained for the formation energy is -0.102 eV per atom. The volume is 12.40 Å³ per atom. Its total energy is -0.292 hartree per atom.

Structure (CIF):
```
data_NbCo3
_chemical_formula_sum 'Nb6 Co18'
_space_group_name_H-M_alt 'P 63 m c'
_space_group_IT_number 186
_space_group_name_Hall 'P 6c -2c'
_cell_length_a 4.7152
_cell_length_b 4.7152
_cell_length_c 15.4518
_cell_angle_alpha 90.00
_cell_angle_beta 90.00
_cell_angle_gamma 120.00
loop_
_atom_site_label
_atom_site_type_symbol
_atom_site_fract_x
_atom_site_fract_y
_atom_site_fract_z
Nb1 Nb 0.0000 0.0000 0.0000
Nb2 Nb 0.0000 0.0000 0.1894
Nb3 Nb 0.3333 0.6667 0.2706
Co1 Co 0.0006 0.5003 0.5993
Co2 Co 0.1650 0.3300 0.8507
Co3 Co 0.3333 0.6667 0.4507
Co4 Co 0.3333 0.6667 0.7246
Co5 Co 0.3333 0.6667 0.9729
```